(1)
First-principles (PBE-GGA) data for an optimized crystal structure of CsIn2HgRu, as listed in Alexandria via LeMat-Bulk.

abc: 5.256 5.256 5.543
angles: 90.00 90.00 90.00
Space group P4/mmm (No. 123)
Unique sites:
Cs  0.000  0.000  0.000 [1 per cell]
In  0.000  0.500  0.500 [2 per cell]
Hg  0.500  0.500  0.000 [1 per cell]
Ru  0.500  0.500  0.500 [1 per cell]

- energy relative to the elements (eV/f.u.) = -0.24


(2)
First-principles (PBE-GGA) data for an optimized crystal structure of Ca2Ac3Hg4, as listed in Alexandria via LeMat-Bulk.

abc: 9.684 5.584 10.737
angles: 90.00 90.01 90.00
Space group C2/m (No. 12)
Unique sites:
Ca  0.167  0.000  0.209 [4 per cell]
Ac  0.000  0.500  0.000 [2 per cell]
Ac  0.166  0.000  0.594 [4 per cell]
Hg  0.001  0.500  0.334 [4 per cell]
Hg  0.167  0.000  0.903 [4 per cell]

- energy relative to the elements (eV/f.u.) = -3.87


(3)
First-principles (PBE-GGA) data for an optimized crystal structure of GeAsRuO2, as listed in Alexandria via LeMat-Bulk.

abc: 3.560 3.560 5.863
angles: 90.00 90.00 90.00
Space group P4/mmm (No. 123)
Unique sites:
Ge  0.000  0.000  0.000 [1 per cell]
As  0.500  0.500  0.500 [1 per cell]
Ru  0.000  0.000  0.500 [1 per cell]
O  0.000  0.500  0.000 [2 per cell]

- formation energy (no corrections) (meV per atom) = -129


(4)
First-principles (PBE-GGA) data for an optimized crystal structure of PuCuGeO6, as listed in Alexandria via LeMat-Bulk.

abc: 5.1927 5.1927 9.0403
angles: 90.00 90.00 120.00
Space group P-31c (No. 163)
Unique sites:
Pu  0.3333  0.6667  0.2500 [2 per cell]
Cu  0.0000  0.0000  0.0000 [2 per cell]
Ge  0.3333  0.6667  0.7500 [2 per cell]
O  0.0190  0.3566  0.6317 [12 per cell]

- formation energy (no corrections) (meV per atom) = -1578


(5)
First-principles (PBE-GGA) data for an optimized crystal structure of PaBeRe, as listed in Alexandria via LeMat-Bulk.

abc: 6.007 6.007 6.007
angles: 90.00 90.00 90.00
Space group P2_13 (No. 198)
Unique sites:
Pa  0.141  0.359  0.641 [4 per cell]
Be  0.077  0.923  0.423 [4 per cell]
Re  0.214  0.214  0.214 [4 per cell]

- energy relative to the elements (eV/f.u.) = 0.62
- relative energy among the computed polymorphs (meV/atom) = 351


(6)
First-principles (PBE-GGA) data for an optimized crystal structure of K2CeCdS4, as listed in Alexandria via LeMat-Bulk.

abc: 6.983 4.103 7.770
angles: 90.00 108.96 90.00
Space group P2/m (No. 10)
Unique sites:
K  0.000  0.000  0.000 [1 per cell]
K  0.500  0.500  0.000 [1 per cell]
Ce  0.000  0.500  0.500 [1 per cell]
Cd  0.500  0.000  0.500 [1 per cell]
S  0.222  0.000  0.709 [2 per cell]
S  0.264  0.500  0.304 [2 per cell]

- formation energy (no corrections) (meV per atom) = -1318


(7)
First-principles (PBE-GGA) data for an optimized crystal structure of PrDy2Pt2, as listed in Alexandria via LeMat-Bulk.

abc: 5.476 4.674 10.517
angles: 90.00 96.93 90.00
Space group P2_1/m (No. 11)
Unique sites:
Pr  0.077  0.250  0.281 [2 per cell]
Dy  0.272  0.750  0.029 [2 per cell]
Dy  0.376  0.250  0.613 [2 per cell]
Pt  0.160  0.750  0.474 [2 per cell]
Pt  0.203  0.250  0.868 [2 per cell]

- energy relative to the elements (eV/f.u.) = -5.01
- relative energy among the computed polymorphs (meV/atom) = 0


(8)
First-principles (PBE-GGA) data for an optimized crystal structure of TbAl4Ag4, as listed in Alexandria via LeMat-Bulk.

abc: 6.161 6.161 9.142
angles: 90.00 90.00 90.00
Space group P4_2/nmc (No. 137, origin choice 2)
Unique sites:
Tb  0.250  0.750  0.250 [2 per cell]
Al  0.029  0.250  0.046 [8 per cell]
Ag  0.027  0.250  0.338 [8 per cell]

- energy relative to the elements (eV/f.u.) = -1.14